(1)
KHgF3: relaxed, PBE.

extended XYZ file:
```
10
Lattice="3.613 0.000 0.000 -1.806 6.665 0.188 0.000 -0.401 7.762" Properties=species:S:1:pos:R:3 pbc="T T T"
F 1.806 2.904 5.337
F 1.806 2.135 0.398
F 0.000 4.130 7.552
F 0.000 0.232 5.208
F 0.000 3.360 2.613
F 1.806 6.031 2.742
K 1.806 1.319 3.089
K 0.000 4.945 4.860
Hg 0.000 1.921 6.601
Hg 1.806 4.344 1.349
```

Properties
**Raw total energy**: -3.37 eV/atom
**Volume**: 18.72 Å³ per atom
**Formation energy from raw total energies**: -1.971 eV per atom
**Density**: 5.26 g/cm³
**Total magnetic moment**: 0.00 μB per cell

(2)
KHg2F: relaxed, PBE.

extended XYZ file:
```
8
Lattice="10.959 0.000 0.000 0.000 10.959 0.000 5.480 5.480 2.454" Properties=species:S:1:pos:R:3 pbc="T T T"
Hg 8.219 9.351 1.840
Hg 3.872 8.219 0.613
Hg 13.699 12.567 1.840
Hg 7.087 2.740 0.613
F 5.480 10.959 1.227
F 5.480 5.480 0.000
K 0.000 0.000 0.000
K 10.959 5.480 1.227
```

Properties
**Raw total energy**: -2.00 eV/atom
**Volume**: 36.84 Å³ per atom
**Formation energy from raw total energies**: -1.103 eV per atom
**Density**: 5.18 g/cm³
**Total magnetic moment**: 0.00 μB per cell
**Distance to the lowest polymorph of the same formula**: 214 meV per atom

(3)
KHgF3: relaxed, PBE.

extended XYZ file:
```
10
Lattice="-4.741 -0.772 -1.034 -0.842 -1.132 4.706 -4.393 6.773 3.407" Properties=species:S:1:pos:R:3 pbc="T T T"
F -6.472 2.385 4.545
F -3.503 2.483 2.535
F -4.250 4.762 4.255
F -4.732 0.015 4.286
F -4.663 4.206 6.564
F -2.406 0.394 4.793
K -5.641 0.974 1.790
K -6.283 4.074 2.420
Hg 0.000 0.000 0.000
Hg -4.013 2.345 4.975
```

Properties
**Raw total energy**: -3.15 eV/atom
**Volume**: 19.42 Å³ per atom
**Formation energy from raw total energies**: -1.748 eV per atom
**Density**: 5.07 g/cm³
**Total magnetic moment**: 0.00 μB per cell

(4)
K4Hg2F: relaxed, PBE.

extended XYZ file:
```
7
Lattice="5.308 0.000 0.000 0.000 5.308 0.000 2.654 2.654 9.323" Properties=species:S:1:pos:R:3 pbc="T T T"
K 2.654 0.000 0.000
K 2.654 2.654 6.147
K 5.308 5.308 3.176
K 0.000 2.654 0.000
Hg 5.308 5.308 6.750
Hg 2.654 2.654 2.573
F 0.000 0.000 0.000
```

Properties
**Raw total energy**: -1.82 eV/atom
**Volume**: 37.52 Å³ per atom
**Formation energy from raw total energies**: -0.844 eV per atom
**Density**: 3.65 g/cm³
**Total magnetic moment**: 0.00 μB per cell

(5)
KHg4F6: relaxed, PBE.

extended XYZ file:
```
11
Lattice="6.457 0.000 0.000 0.000 6.457 0.000 -3.229 -3.229 5.437" Properties=species:S:1:pos:R:3 pbc="T T T"
F 4.190 4.190 2.277
F -0.961 0.961 3.160
F 3.229 0.000 0.000
F 0.961 -0.961 3.160
F 0.000 3.229 0.000
F 2.267 2.267 2.277
Hg 2.289 -2.289 4.152
Hg 5.517 5.517 1.285
Hg -2.289 2.289 4.152
Hg 0.940 0.940 1.285
K 3.229 3.229 0.000
```

Properties
**Raw total energy**: -2.60 eV/atom
**Volume**: 20.61 Å³ per atom
**Formation energy from raw total energies**: -1.365 eV per atom
**Density**: 7.00 g/cm³
**Total magnetic moment**: 0.00 μB per cell

(6)
KHgF3: relaxed, PBE.

extended XYZ file:
```
20
Lattice="20.559 0.000 -1.807 0.000 5.698 0.000 -7.283 0.000 3.664" Properties=species:S:1:pos:R:3 pbc="T T T"
Hg -2.148 1.428 2.041
Hg 15.424 4.271 -0.183
Hg 11.773 1.421 -0.695
Hg 1.503 4.277 2.552
F 8.179 4.246 1.144
F 13.608 0.001 -0.477
F 1.541 4.302 0.216
F 10.937 4.277 -0.812
F 16.260 1.428 -0.066
F -2.984 4.271 1.923
F 2.339 1.421 2.669
F -0.313 2.848 2.258
F -0.332 5.697 2.334
F 5.097 1.453 0.713
F 11.735 1.396 1.641
F 13.589 2.851 -0.401
K 5.429 4.280 0.760
K 12.067 4.267 1.688
K 7.847 1.418 1.097
K 1.209 1.431 0.169
```

Properties
**Raw total energy**: -3.37 eV/atom
**Volume**: 17.71 Å³ per atom
**Formation energy from raw total energies**: -1.969 eV per atom
**Density**: 5.56 g/cm³
**Total magnetic moment**: 0.00 μB per cell